[1]
A plane-wave DFT calculation with PBE was carried out for a relaxed structure of Ac2Pm2Sn7.

Values from the calculation:
For the formation energy, the calculation gives -0.2211 eV per atom. The density comes out at 6.6 g/cm3. The density of states at the Fermi level is 8.8 states/eV/f.u. The final energy is -48.17 eV per cell.

a b c (Å): 8.188 8.188 5.981
angles (deg): 90.00 90.00 96.08
Fractional coordinates of all 11 atoms:
Ac  0.203  0.203  0.000
Ac  0.797  0.797  0.000
Pm  0.259  0.741  0.500
Pm  0.741  0.259  0.500
Sn  0.000  0.000  0.500
Sn  0.000  0.500  0.243
Sn  0.000  0.500  0.757
Sn  0.500  0.000  0.243
Sn  0.500  0.000  0.757
Sn  0.500  0.500  0.247
Sn  0.500  0.500  0.753

=====

[2]
A plane-wave DFT calculation with PBE was carried out for a relaxed structure of Ac8PmSn6.

Values from the calculation:
For the formation energy, the calculation gives -0.4218 eV per atom. The density comes out at 7.9 g/cm3. The density of states at the Fermi level is 16.0 states/eV/f.u. The final energy is -67.96 eV per cell.

a b c (Å): 12.314 12.314 4.290
angles (deg): 90.00 90.00 120.00
Fractional coordinates of all 15 atoms:
Ac  0.086  0.771  0.264
Ac  0.229  0.315  0.264
Ac  0.315  0.086  0.736
Ac  0.333  0.667  0.744
Ac  0.667  0.333  0.256
Ac  0.685  0.914  0.264
Ac  0.771  0.685  0.736
Ac  0.914  0.229  0.736
Pm  0.000  0.000  0.000
Sn  0.078  0.483  0.245
Sn  0.405  0.922  0.245
Sn  0.483  0.405  0.755
Sn  0.517  0.595  0.245
Sn  0.595  0.078  0.755
Sn  0.922  0.517  0.755

=====

[3]
A plane-wave DFT calculation with PBE was carried out for a relaxed structure of AcPm2Sn.

Values from the calculation:
For the formation energy, the calculation gives -0.3283 eV per atom. The density comes out at 8.0 g/cm3. The density of states at the Fermi level is 5.9 states/eV/f.u. The final energy is -18.93 eV per cell.

a b c (Å): 4.159 4.159 7.654
angles (deg): 90.00 90.00 90.00
Fractional coordinates of all 4 atoms:
Ac  0.000  0.000  0.000
Pm  0.500  0.500  0.298
Pm  0.500  0.500  0.702
Sn  0.000  0.000  0.500

=====

[4]
A plane-wave DFT calculation with PBE was carried out for a relaxed structure of AcPmSn.

Values from the calculation:
For the formation energy, the calculation gives -0.4321 eV per atom. The density comes out at 8.3 g/cm3. The density of states at the Fermi level is 3.3 states/eV/f.u. The final energy is -14.16 eV per cell.

a b c (Å): 6.119 6.119 6.119
angles (deg): 138.97 138.97 59.42
Fractional coordinates of all 3 atoms:
Ac  0.000  0.000  0.000
Pm  0.307  0.307  0.000
Sn  0.668  0.668  0.000

=====

[5]
A plane-wave DFT calculation with PBE was carried out for a relaxed structure of AcPm2Sn6.

Values from the calculation:
For the formation energy, the calculation gives -0.4653 eV per atom. The density comes out at 7.3 g/cm3. The density of states at the Fermi level is 6.1 states/eV/f.u. The final energy is -41.81 eV per cell.

a b c (Å): 9.254 9.254 4.531
angles (deg): 103.78 103.78 48.53
Fractional coordinates of all 9 atoms:
Ac  0.000  0.000  0.000
Pm  0.377  0.377  0.878
Pm  0.623  0.623  0.122
Sn  0.016  0.614  0.313
Sn  0.311  0.689  0.500
Sn  0.386  0.984  0.687
Sn  0.614  0.016  0.313
Sn  0.689  0.311  0.500
Sn  0.984  0.386  0.687

=====

[6]
A plane-wave DFT calculation with PBE was carried out for a relaxed structure of Ac8PmSn2.

Values from the calculation:
For the formation energy, the calculation gives -0.0223 eV per atom. The density comes out at 7.6 g/cm3. The density of states at the Fermi level is 15.8 states/eV/f.u. The final energy is -45.87 eV per cell.

a b c (Å): 9.456 9.456 6.791
angles (deg): 110.28 110.28 60.00
Fractional coordinates of all 11 atoms:
Ac  0.090  0.693  0.091
Ac  0.108  0.108  0.419
Ac  0.307  0.910  0.909
Ac  0.362  0.362  0.454
Ac  0.638  0.638  0.546
Ac  0.693  0.090  0.091
Ac  0.892  0.892  0.581
Ac  0.910  0.307  0.909
Pm  0.500  0.500  0.000
Sn  0.284  0.284  0.883
Sn  0.716  0.716  0.117

=====

[7]
A plane-wave DFT calculation with PBE was carried out for a relaxed structure of AcPm2Sn.

Values from the calculation:
For the formation energy, the calculation gives -0.0289 eV per atom. The density comes out at 7.3 g/cm3. The density of states at the Fermi level is 5.6 states/eV/f.u. The final energy is -17.73 eV per cell.

a b c (Å): 12.197 12.197 12.197
angles (deg): 17.56 17.56 17.56
Fractional coordinates of all 4 atoms:
Ac  0.000  0.000  0.000
Pm  0.100  0.100  0.100
Pm  0.900  0.900  0.900
Sn  0.500  0.500  0.500

=====

[8]
A plane-wave DFT calculation with PBE was carried out for a relaxed structure of Ac2Pm3Sn3.

Values from the calculation:
For the formation energy, the calculation gives -0.4570 eV per atom. The density comes out at 8.0 g/cm3. The density of states at the Fermi level is 8.2 states/eV/f.u. The final energy is -38.13 eV per cell.

a b c (Å): 11.591 11.591 11.591
angles (deg): 157.58 154.04 34.56
Fractional coordinates of all 8 atoms:
Ac  0.230  0.230  0.000
Ac  0.770  0.770  0.000
Pm  0.000  0.000  0.000
Pm  0.390  0.890  0.500
Pm  0.610  0.110  0.500
Sn  0.115  0.615  0.500
Sn  0.500  0.500  0.000
Sn  0.885  0.385  0.500